(1)
! K2LiNiF6 PBE with a Hubbard U optimized geometry; values from VASP
! Uncorrected energy: -42.34 eV for the cell shown
! Symmetry: Fm-3m
! Density of states at the Fermi level: 0.405 states/eV/atom
&SYSTEM
  ibrav = 0, nat = 10, ntyp = 4
/
ATOMIC_SPECIES
Ni 58.69 Ni.upf
K 39.10 K.upf
Li 6.94 Li.upf
F 19.00 F.upf
CELL_PARAMETERS angstrom
5.6800 0.0000 0.0000
2.8400 4.9190 0.0000
2.8400 1.6397 4.6377
ATOMIC_POSITIONS angstrom
Ni 5.6800 3.2793 2.3188
K 2.8400 1.6397 1.1594
K 8.5199 4.9190 3.4783
Li 0.0000 0.0000 0.0000
F 5.6800 4.8536 3.4320
F 7.0433 2.4922 3.4320
F 4.3166 4.0664 1.2057
F 4.3166 2.4922 3.4320
F 7.0433 4.0664 1.2057
F 5.6800 1.7051 1.2057

(2)
! K3LiNi2F9 PBE with a Hubbard U optimized geometry; values from VASP
! Uncorrected energy: -63.99 eV for the cell shown
! Symmetry: P-3m1
! Density of states at the Fermi level: 0.183 states/eV/atom
&SYSTEM
  ibrav = 0, nat = 15, ntyp = 4
/
ATOMIC_SPECIES
K 39.10 K.upf
Li 6.94 Li.upf
Ni 58.69 Ni.upf
F 19.00 F.upf
CELL_PARAMETERS angstrom
5.6874 0.0000 0.0000
-2.8437 4.9254 0.0000
0.0000 0.0000 6.9989
ATOMIC_POSITIONS angstrom
K 0.0000 3.2836 4.5733
K 0.0000 0.0000 0.0000
K 2.8437 1.6418 2.4257
Li 0.0000 0.0000 3.4995
Ni 0.0000 3.2836 1.1720
Ni 2.8437 1.6418 5.8269
F 4.2316 0.8405 4.7341
F 2.8437 3.2445 4.7341
F 1.4558 0.8405 4.7341
F 1.3879 4.0850 2.2648
F 0.0000 1.6810 2.2648
F -1.3879 4.0850 2.2648
F 2.8437 0.0000 0.0000
F -1.4219 2.4627 0.0000
F 1.4219 2.4627 0.0000

(3)
! K2Li2NiF6 PBE with a Hubbard U optimized geometry; values from VASP
! Uncorrected energy: -48.62 eV for the cell shown
! Symmetry: P-31m
! Density of states at the Fermi level: 0.000 states/eV/atom
&SYSTEM
  ibrav = 0, nat = 11, ntyp = 4
/
ATOMIC_SPECIES
K 39.10 K.upf
Li 6.94 Li.upf
Ni 58.69 Ni.upf
F 19.00 F.upf
CELL_PARAMETERS angstrom
5.3323 0.0000 0.0000
-2.6661 4.6179 0.0000
0.0000 0.0000 6.0047
ATOMIC_POSITIONS angstrom
K 2.6662 1.5393 3.0024
K 0.0000 3.0786 3.0023
Li 0.0000 3.0786 0.0001
Li 2.6662 1.5393 6.0046
Ni 0.0000 0.0000 0.0000
F -0.8701 1.5072 4.9118
F 1.7960 3.1108 4.9118
F -0.9259 4.6179 4.9118
F 3.5363 3.1107 1.0929
F 0.8702 1.5071 1.0929
F 3.5920 0.0001 1.0929